1.
Material: BaBiAsO2
Method: DFT, PBE
State: optimized geometry

Properties
raw formation energy	-0.105	eV/atom
volume	27.39	Å³/atom
space group	P4/mmm
total energy	-4.179	eV per atom

Lattice parameters (Å, degrees): 4.3918 7.1003 4.3918 90.00 90.00 90.00
Fractional coordinates of all 5 atoms:
1 Bi 0.5000 0.5000 0.5000
2 Ba 0.0000 0.0000 0.0000
3 As 0.0000 0.5000 0.0000
4 O 0.5000 0.0000 0.0000
5 O 0.0000 0.0000 0.5000

2.
Material: TbY2Rh
Method: DFT, PBE
State: optimized geometry

Properties
DFT formation energy	-385.8	meV/atom
volume	26.59	Å³/atom
space group	P4/mmm
total energy	-6.613	eV per atom

Lattice parameters (Å, degrees): 3.5089 3.5089 8.6381 90.00 90.00 90.00
Fractional coordinates of all 4 atoms:
1 Y 0.0000 0.0000 0.1903
2 Y 0.0000 0.0000 0.8097
3 Rh 0.5000 0.5000 0.0000
4 Tb 0.5000 0.5000 0.5000

3.
Material: SrMg14C
Method: DFT, PBE
State: optimized geometry

Properties
DFT formation energy	313.0	meV/atom
volume	23.25	Å³/atom
space group	P-6m2
total energy	-1.764	eV per atom

Lattice parameters (Å, degrees): 6.5289 6.5289 10.0788 90.00 90.00 120.00
Fractional coordinates of all 16 atoms:
1 Mg 0.9779 0.4890 0.5000
2 Mg 0.4917 0.9835 0.0000
3 Mg 0.5110 0.4890 0.5000
4 Mg 0.1560 0.8440 0.7128
5 Mg 0.6667 0.3333 0.7603
6 Mg 0.6667 0.3333 0.2397
7 Mg 0.5110 0.0221 0.5000
8 Mg 0.6880 0.8440 0.2872
9 Mg 0.1560 0.3120 0.2872
10 Mg 0.1560 0.8440 0.2872
11 Mg 0.0165 0.5083 0.0000
12 Mg 0.1560 0.3120 0.7128
13 Mg 0.6880 0.8440 0.7128
14 Mg 0.4917 0.5083 0.0000
15 Sr 0.0000 0.0000 0.0000
16 C 0.0000 0.0000 0.5000

4.
Material: Er2NiRh
Method: DFT, PBE
State: optimized geometry

Properties
DFT formation energy	-680.7	meV/atom
volume	19.19	Å³/atom
space group	P4/mmm
total energy	-6.245	eV per atom

Lattice parameters (Å, degrees): 3.3673 3.3673 6.7694 90.00 90.00 90.00
Fractional coordinates of all 4 atoms:
1 Er 0.0000 0.0000 0.2488
2 Er 0.0000 0.0000 0.7512
3 Rh 0.5000 0.5000 0.5000
4 Ni 0.5000 0.5000 0.0000

Which of these has the lowest volume? Er2NiRh

Which of these has the lowest total energy? TbY2Rh